(1)
# HoNpTc2 | the Alexandria database | PBE | optimized geometry
# total magnetization = 1.48 μB/f.u.
# ρ = 12.79 Mg/m³
# Fermi-level density of states = 5.22 states/eV/cell
# distance to the lowest polymorph of the same formula = 0 meV/atom
# final energy = -9.581 eV per atom
# E_form = -18 meV/atom
data_HoNpTc2
_chemical_formula_sum 'Ho1 Np1 Tc2'
_cell_length_a 3.343
_cell_length_b 3.343
_cell_length_c 6.947
_cell_angle_alpha 90.00
_cell_angle_beta 90.00
_cell_angle_gamma 90.00
_symmetry_space_group_name_H-M 'P 4/m m m'
_symmetry_Int_Tables_number 123
_symmetry_space_group_name_Hall '-P 4 2'
loop_
_atom_site_label
_atom_site_fract_x
_atom_site_fract_y
_atom_site_fract_z
_atom_site_occupancy
Ho1 0.000 0.000 0.000 1
Np1 0.000 0.000 0.500 1
Tc1 0.500 0.500 0.290 1

=====

(2)
# HoNpTc | the Alexandria database | PBE | optimized geometry
# total magnetization = 2.01 μB/f.u.
# ρ = 11.76 Mg/m³
# Fermi-level density of states = 22.91 states/eV/cell
# final energy = -8.887 eV per atom
# E_form = 408 meV/atom
data_HoNpTc
_chemical_formula_sum 'Ho4 Np4 Tc4'
_cell_length_a 3.457
_cell_length_b 3.457
_cell_length_c 23.619
_cell_angle_alpha 90.00
_cell_angle_beta 90.00
_cell_angle_gamma 90.00
_symmetry_space_group_name_H-M 'I 4/m m m'
_symmetry_Int_Tables_number 139
_symmetry_space_group_name_Hall '-I 4 2'
loop_
_atom_site_label
_atom_site_fract_x
_atom_site_fract_y
_atom_site_fract_z
_atom_site_occupancy
Ho1 0.000 0.000 0.076 1
Np1 0.000 0.000 0.336 1
Tc1 0.000 0.000 0.209 1

=====

(3)
# HoNpTc2 | the Alexandria database | PBE | optimized geometry
# total magnetization = 2.00 μB/f.u.
# ρ = 12.94 Mg/m³
# Fermi-level density of states = 7.14 states/eV/cell
# distance to the lowest polymorph of the same formula = 127 meV/atom
# final energy = -9.454 eV per atom
# E_form = 109 meV/atom
data_HoNpTc2
_chemical_formula_sum 'Ho1 Np1 Tc2'
_cell_length_a 4.797
_cell_length_b 4.797
_cell_length_c 3.336
_cell_angle_alpha 90.00
_cell_angle_beta 90.00
_cell_angle_gamma 90.00
_symmetry_space_group_name_H-M 'P 4/m m m'
_symmetry_Int_Tables_number 123
_symmetry_space_group_name_Hall '-P 4 2'
loop_
_atom_site_label
_atom_site_fract_x
_atom_site_fract_y
_atom_site_fract_z
_atom_site_occupancy
Ho1 0.000 0.000 0.000 1
Np1 0.500 0.500 0.000 1
Tc1 0.000 0.500 0.500 1

=====

(4)
# HoNpTc4 | the Alexandria database | PBE | optimized geometry
# total magnetization = 4.45 μB/f.u.
# ρ = 11.99 Mg/m³
# Fermi-level density of states = 60.20 states/eV/cell
# final energy = -9.777 eV per atom
# E_form = 54 meV/atom
data_HoNpTc4
_chemical_formula_sum 'Ho4 Np4 Tc16'
_cell_length_a 7.606
_cell_length_b 7.606
_cell_length_c 7.606
_cell_angle_alpha 90.00
_cell_angle_beta 90.00
_cell_angle_gamma 90.00
_symmetry_space_group_name_H-M 'F -4 3 m'
_symmetry_Int_Tables_number 216
_symmetry_space_group_name_Hall 'F -4 2 3'
loop_
_atom_site_label
_atom_site_fract_x
_atom_site_fract_y
_atom_site_fract_z
_atom_site_occupancy
Ho1 0.000 0.000 0.000 1
Np1 0.250 0.250 0.750 1
Tc1 0.125 0.125 0.375 1

=====

(5)
# HoNpTe6 | the Alexandria database | PBE | optimized geometry
# total magnetization = 3.57 μB/f.u.
# formation energy without anion corrections = -711 meV/atom
# ρ = 7.70 Mg/m³
# Fermi-level density of states = 24.02 states/eV/cell
# final energy = -5.258 eV per atom
data_HoNpTe6
_chemical_formula_sum 'Ho2 Np2 Te12'
_cell_length_a 4.359
_cell_length_b 4.358
_cell_length_c 26.490
_cell_angle_alpha 90.00
_cell_angle_beta 90.00
_cell_angle_gamma 90.00
_symmetry_space_group_name_H-M 'A m m 2'
_symmetry_Int_Tables_number 38
loop_
_symmetry_equiv_pos_as_xyz
'x,y,z'
'-x,-y,z'
'-x,y,z'
'x,-y,z'
'x,y+1/2,z+1/2'
'-x,-y+1/2,z+1/2'
'-x,y+1/2,z+1/2'
'x,-y+1/2,z+1/2'
loop_
_atom_site_label
_atom_site_fract_x
_atom_site_fract_y
_atom_site_fract_z
_atom_site_occupancy
Ho1 0.000 0.000 0.000 1
Np1 0.500 0.000 0.343 1
Te1 0.000 0.000 0.252 1
Te2 0.000 0.000 0.592 1
Te3 0.000 0.000 0.878 1
Te4 0.500 0.000 0.092 1
Te5 0.500 0.000 0.465 1
Te6 0.500 0.000 0.752 1

=====

(6)
# HoNp2Te5 | the Alexandria database | PBE | optimized geometry
# total magnetization = 8.67 μB/f.u.
# formation energy without anion corrections = -159 meV/atom
# ρ = 7.22 Mg/m³
# Fermi-level density of states = 18.48 states/eV/cell
# final energy = -5.930 eV per atom
data_HoNp2Te5
_chemical_formula_sum 'Ho1 Np2 Te5'
_cell_length_a 7.404
_cell_length_b 7.404
_cell_length_c 5.354
_cell_angle_alpha 90.00
_cell_angle_beta 90.00
_cell_angle_gamma 90.00
_symmetry_space_group_name_H-M 'P 4/m m m'
_symmetry_Int_Tables_number 123
_symmetry_space_group_name_Hall '-P 4 2'
loop_
_atom_site_label
_atom_site_fract_x
_atom_site_fract_y
_atom_site_fract_z
_atom_site_occupancy
Ho1 0.000 0.000 0.000 1
Np1 0.000 0.500 0.500 1
Te1 0.000 0.000 0.500 1
Te2 0.281 0.281 0.000 1

=====

(7)
# HoNpTe3 | the Alexandria database | PBE | optimized geometry
# total magnetization = 3.99 μB/f.u.
# formation energy without anion corrections = -1010 meV/atom
# ρ = 8.55 Mg/m³
# Fermi-level density of states = 29.16 states/eV/cell
# final energy = -6.399 eV per atom
data_HoNpTe3
_chemical_formula_sum 'Ho4 Np4 Te12'
_cell_length_a 8.248
_cell_length_b 4.353
_cell_length_c 16.988
_cell_angle_alpha 90.00
_cell_angle_beta 90.00
_cell_angle_gamma 90.00
_symmetry_space_group_name_H-M 'P n m a'
_symmetry_Int_Tables_number 62
loop_
_symmetry_equiv_pos_as_xyz
'x,y,z'
'-x,-y,-z'
'-x+1/2,-y,z+1/2'
'x+1/2,y,-z+1/2'
'x+1/2,-y+1/2,-z+1/2'
'-x+1/2,y+1/2,z+1/2'
'-x,y+1/2,-z'
'x,-y+1/2,z'
loop_
_atom_site_label
_atom_site_fract_x
_atom_site_fract_y
_atom_site_fract_z
_atom_site_occupancy
Ho1 0.232 0.250 0.042 1
Np1 0.135 0.750 0.294 1
Te1 0.003 0.750 0.108 1
Te2 0.119 0.250 0.434 1
Te3 0.150 0.750 0.719 1

=====

(8)
# Ho2NpTe | the Alexandria database | PBE | optimized geometry
# total magnetization = 5.86 μB/f.u.
# formation energy without anion corrections = 138 meV/atom
# ρ = 9.05 Mg/m³
# Fermi-level density of states = 30.97 states/eV/cell
# final energy = -6.171 eV per atom
data_Ho2NpTe
_chemical_formula_sum 'Ho6 Np3 Te3'
_cell_length_a 3.7049
_cell_length_b 3.7049
_cell_length_c 32.1500
_cell_angle_alpha 90.00
_cell_angle_beta 90.00
_cell_angle_gamma 120.00
_symmetry_space_group_name_H-M 'R -3 m'
_symmetry_Int_Tables_number 166
_symmetry_space_group_name_Hall '-R 3 2"'
loop_
_atom_site_label
_atom_site_fract_x
_atom_site_fract_y
_atom_site_fract_z
_atom_site_occupancy
Ho1 0.0000 0.0000 0.1002 1
Np1 0.0000 0.0000 0.0000 1
Te1 0.0000 0.0000 0.5000 1

=====

What is the Fermi-level density of states in the second record?
22.91 states/eV/cell

=====

Please write out number 4 again, unchanged.
# HoNpTc4 | the Alexandria database | PBE | optimized geometry
# total magnetization = 4.45 μB/f.u.
# ρ = 11.99 Mg/m³
# Fermi-level density of states = 60.20 states/eV/cell
# final energy = -9.777 eV per atom
# E_form = 54 meV/atom
data_HoNpTc4
_chemical_formula_sum 'Ho4 Np4 Tc16'
_cell_length_a 7.606
_cell_length_b 7.606
_cell_length_c 7.606
_cell_angle_alpha 90.00
_cell_angle_beta 90.00
_cell_angle_gamma 90.00
_symmetry_space_group_name_H-M 'F -4 3 m'
_symmetry_Int_Tables_number 216
_symmetry_space_group_name_Hall 'F -4 2 3'
loop_
_atom_site_label
_atom_site_fract_x
_atom_site_fract_y
_atom_site_fract_z
_atom_site_occupancy
Ho1 0.000 0.000 0.000 1
Np1 0.250 0.250 0.750 1
Tc1 0.125 0.125 0.375 1

=====

What is the formula in the seventh record?
HoNpTe3

=====

What did the fifth record say?
# HoNpTe6 | the Alexandria database | PBE | optimized geometry
# total magnetization = 3.57 μB/f.u.
# formation energy without anion corrections = -711 meV/atom
# ρ = 7.70 Mg/m³
# Fermi-level density of states = 24.02 states/eV/cell
# final energy = -5.258 eV per atom
data_HoNpTe6
_chemical_formula_sum 'Ho2 Np2 Te12'
_cell_length_a 4.359
_cell_length_b 4.358
_cell_length_c 26.490
_cell_angle_alpha 90.00
_cell_angle_beta 90.00
_cell_angle_gamma 90.00
_symmetry_space_group_name_H-M 'A m m 2'
_symmetry_Int_Tables_number 38
loop_
_symmetry_equiv_pos_as_xyz
'x,y,z'
'-x,-y,z'
'-x,y,z'
'x,-y,z'
'x,y+1/2,z+1/2'
'-x,-y+1/2,z+1/2'
'-x,y+1/2,z+1/2'
'x,-y+1/2,z+1/2'
loop_
_atom_site_label
_atom_site_fract_x
_atom_site_fract_y
_atom_site_fract_z
_atom_site_occupancy
Ho1 0.000 0.000 0.000 1
Np1 0.500 0.000 0.343 1
Te1 0.000 0.000 0.252 1
Te2 0.000 0.000 0.592 1
Te3 0.000 0.000 0.878 1
Te4 0.500 0.000 0.092 1
Te5 0.500 0.000 0.465 1
Te6 0.500 0.000 0.752 1